(1)
Entry from the Alexandria database: crystalline Sc3Ag5Bi12 at its relaxed geometry (PBE).

Cell: 17.471 17.471 17.471 Å, 90.00 90.00 90.00°
Space group Ia-3d (No. 230)
Asymmetric unit:
Sc  0.000  0.250  0.125 x24
Ag  0.000  0.000  0.000 x16
Ag  0.000  0.250  0.375 x24
Bi  0.009  0.072  0.656 x96

Results
**Energy relative to the elements**: 0.018 eV per atom
**M_tot**: 0.0 μB/f.u.
**Calculated density**: 7.93 g/cm³
**DOS(E_F)**: 10.5 states/eV/f.u.

=====

(2)
Entry from the Alexandria database: crystalline ScAg3Bi at its relaxed geometry (PBE).

Cell: 5.316 5.316 5.316 Å, 90.00 90.00 90.00°
Space group Pm-3m (No. 221)
Asymmetric unit:
Sc  0.000  0.000  0.000 x1
Ag  0.000  0.500  0.500 x3
Bi  0.500  0.500  0.500 x1

Results
**Energy relative to the elements**: 0.716 eV per atom
**M_tot**: 1.3 μB/f.u.
**Energy above the most stable polymorph in this dataset**: 0 meV per atom
**Calculated density**: 6.39 g/cm³
**DOS(E_F)**: 4.8 states/eV/f.u.